LiNiPb | meta-GGA SCAN | single point on PBEsol structure

* DFT total energy: -31.4937 eV per atom
* density of states at the Fermi level: 1.32 states/eV/f.u.

```
LiNiPb
1.0
-1.6766 1.6766 4.1650
1.6766 -1.6766 4.1650
1.6766 1.6766 -4.1650
Li Ni Pb
1 1 1
Direct
0.0000 0.0000 0.0000
0.6526 0.6526 0.0000
0.3192 0.3192 0.0000
```

***

RbGeI2O | meta-GGA SCAN | single point on PBEsol structure

* DFT total energy: -23.3962 eV per atom
* formation energy from raw total energies: 0.51 eV/atom
* density of states at the Fermi level: 3.00 states/eV/f.u.

```
RbGeI2O
1.0
6.3193 0.0000 0.0000
0.0000 6.3193 0.0000
0.0000 0.0000 4.2192
Rb Ge I O
1 1 2 1
Direct
0.0000 0.0000 0.0000
0.5000 0.5000 0.5000
0.0000 0.5000 0.0000
0.5000 0.0000 0.0000
0.0000 0.0000 0.5000
```

***

SrLa2Bi2 | meta-GGA SCAN | single point on PBEsol structure

* DFT total energy: -54.1232 eV per atom
* density of states at the Fermi level: 3.27 states/eV/f.u.

```
SrLa2Bi2
1.0
8.8162 0.0000 0.0000
0.0000 8.8162 0.0000
0.0000 0.0000 4.3999
Sr La Bi
2 4 4
Direct
0.0000 0.0000 0.0000
0.5000 0.5000 0.0000
0.1515 0.3485 0.5000
0.3485 0.8485 0.5000
0.6515 0.1515 0.5000
0.8485 0.6515 0.5000
0.1489 0.6489 0.0000
0.3511 0.1489 0.0000
0.6489 0.8511 0.0000
0.8511 0.3511 0.0000
```

***

MnFe3 | meta-GGA SCAN | single point on PBEsol structure

* DFT total energy: -18.1148 eV per atom
* density of states at the Fermi level: 2.43 states/eV/f.u.

```
MnFe3
1.0
1.3829 -1.9530 0.0000
1.3829 1.9530 0.0000
0.0000 0.0000 7.9085
Mn Fe
1 3
Direct
0.0000 0.0000 0.0000
0.0000 0.0000 0.5000
0.5000 0.5000 0.2486
0.5000 0.5000 0.7514
```

***

LiY3Ni | meta-GGA SCAN | single point on PBEsol structure

* DFT total energy: -20.4446 eV per atom
* density of states at the Fermi level: 6.50 states/eV/f.u.

```
LiY3Ni
1.0
5.2244 0.0000 0.0000
0.0000 5.2244 0.0000
0.0000 0.0000 5.2244
Li Y Ni
1 3 1
Direct
0.0000 0.0000 0.0000
0.0000 0.5000 0.5000
0.5000 0.0000 0.5000
0.5000 0.5000 0.0000
0.5000 0.5000 0.5000
```

***

SrLi2Si | meta-GGA SCAN | single point on PBEsol structure

* DFT total energy: -9.5625 eV per atom
* formation energy from raw total energies: -0.29 eV/atom
* density of states at the Fermi level: 0.21 states/eV/f.u.

```
SrLi2Si
1.0
2.2607 1.3052 4.6950
-2.2607 1.3052 4.6950
0.0000 -2.6105 4.6950
Sr Li Si
1 2 1
Direct
0.0000 0.0000 0.0000
0.2074 0.2074 0.2074
0.7926 0.7926 0.7926
0.5000 0.5000 0.5000
```

***

YMgCd2Tc | meta-GGA SCAN | single point on PBEsol structure

* DFT total energy: -24.0488 eV per atom
* density of states at the Fermi level: 4.96 states/eV/f.u.

```
YMgCd2Tc
1.0
5.4894 0.0000 0.0000
0.0000 5.4894 0.0000
0.0000 0.0000 5.6194
Y Mg Cd Tc
1 1 2 1
Direct
0.0000 0.0000 0.0000
0.0000 0.0000 0.5000
0.0000 0.5000 0.0000
0.5000 0.0000 0.0000
0.5000 0.5000 0.5000
```

***

Sc3Cd5 | meta-GGA SCAN | single point on PBEsol structure

* DFT total energy: -24.6920 eV per atom
* density of states at the Fermi level: 3.54 states/eV/f.u.

```
Sc3Cd5
1.0
3.5491 -4.8710 0.0000
3.5491 4.8710 0.0000
0.0000 0.0000 4.7945
Sc Cd
3 5
Direct
0.0000 0.0000 0.0000
0.2623 0.7377 0.5000
0.7377 0.2623 0.5000
0.0000 0.5000 0.0000
0.2412 0.2412 0.5000
0.5000 0.0000 0.0000
0.5000 0.5000 0.0000
0.7588 0.7588 0.5000
```

***

LaSb2 | meta-GGA SCAN | single point on PBEsol structure

* DFT total energy: -39.7041 eV per atom
* formation energy from raw total energies: -0.50 eV/atom
* density of states at the Fermi level: 1.90 states/eV/f.u.

```
LaSb2
1.0
0.0000 4.4111 4.4111
4.4111 0.0000 4.4111
4.4111 4.4111 0.0000
La Sb
2 4
Direct
0.1250 0.1250 0.1250
0.8750 0.8750 0.8750
0.0000 0.5000 0.5000
0.5000 0.0000 0.5000
0.5000 0.5000 0.0000
0.5000 0.5000 0.5000
```

***

AlW2Au | meta-GGA SCAN | single point on PBEsol structure

* DFT total energy: -53.8816 eV per atom
* density of states at the Fermi level: 2.41 states/eV/f.u.

```
AlW2Au
1.0
2.7302 0.0000 0.0000
0.0000 4.0795 0.0000
0.0000 0.0000 5.6811
Al W Au
1 2 1
Direct
0.0000 0.0000 0.0000
0.0000 0.0000 0.5155
0.5000 0.5000 0.7382
0.5000 0.5000 0.2320
```

***

Gd2CuRu | meta-GGA SCAN | single point on PBEsol structure

* DFT total energy: -42.1899 eV per atom
* density of states at the Fermi level: 2.12 states/eV/f.u.

```
Gd2CuRu
1.0
0.0000 3.4028 3.4028
3.4028 0.0000 3.4028
3.4028 3.4028 0.0000
Gd Cu Ru
2 1 1
Direct
0.2500 0.2500 0.2500
0.7500 0.7500 0.7500
0.0000 0.0000 0.0000
0.5000 0.5000 0.5000
```

***

TaTc2As | meta-GGA SCAN | single point on PBEsol structure

* DFT total energy: -39.2562 eV per atom
* density of states at the Fermi level: 2.78 states/eV/f.u.

```
TaTc2As
1.0
2.9903 0.0000 0.0000
0.0000 3.9947 0.0000
0.0000 0.0000 5.1042
Ta Tc As
1 2 1
Direct
0.0000 0.0000 0.0000
0.5000 0.5000 0.2607
0.5000 0.5000 0.7393
0.0000 0.0000 0.5000
```